Here is a relaxed structure of CrSF3 from the Alexandria database. Energies are from GGA+U.

Structure (POSCAR):
```
CrSF3
1.0
-3.553 1.392 1.122
-1.721 -3.337 -1.311
0.483 -1.657 3.583
F S Cr
3 1 1
Direct
0.000 0.500 0.000
0.500 0.000 0.000
0.000 0.000 0.500
0.500 0.500 0.500
0.000 0.000 0.000
```

Computed properties:
For the excess energy over the best structure of this formula in the dataset, the calculation gives 94.7 meV/atom. The value obtained for the total energy is -3.9703 eV per atom. The value obtained for the volume is 12.6 A^3/atom. For the density, the calculation gives 3.723 g/cm³. As for the space-group type: Pm-3m, No. 221.